Entry 1:
Here is KRe3Pt after structural relaxation from the Alexandria database. Energies are from PBE.

## Properties
As for the energy of formation: 84.8 kcal/mol of atoms. As for the space-group type: No. 221. The energy above the lowest structure with this stoichiometry is 1.264 eV per atom.

Lattice parameters (Å, degrees): 4.4384 4.4384 4.4384 90.00 90.00 90.00
Atoms (fractional coordinates):
K1 0.0000 0.0000 0.0000
Re1 0.0000 0.0000 0.5000
Re2 0.0000 0.5000 0.0000
Re3 0.5000 0.0000 0.0000
Pt1 0.5000 0.5000 0.5000



Entry 2:
Here is Pa4Ga12Os after structural relaxation from the Alexandria database. Energies are from PBE.

## Properties
As for the energy of formation: -9.4 kcal/mol of atoms. As for the space-group type: No. 229.

Lattice parameters (Å, degrees): 7.4691 7.4691 7.4691 109.47 109.47 109.47
Atoms (fractional coordinates):
Pa1 0.0000 0.0000 0.5000
Pa2 0.0000 0.5000 0.0000
Pa3 0.5000 0.0000 0.0000
Pa4 0.5000 0.5000 0.5000
Ga1 0.0000 0.2947 0.2947
Ga2 0.0000 0.7053 0.7053
Ga3 0.2500 0.5000 0.7500
Ga4 0.2500 0.7500 0.5000
Ga5 0.2947 0.0000 0.2947
Ga6 0.2947 0.2947 0.0000
Ga7 0.5000 0.2500 0.7500
Ga8 0.5000 0.7500 0.2500
Ga9 0.7053 0.0000 0.7053
Ga10 0.7053 0.7053 0.0000
Ga11 0.7500 0.2500 0.5000
Ga12 0.7500 0.5000 0.2500
Os1 0.0000 0.0000 0.0000



Entry 3:
Here is Ir2WBr after structural relaxation from the Alexandria database. Energies are from PBE.

## Properties
As for the space-group type: No. 65. The energy above the lowest structure with this stoichiometry is 0.688 eV per atom.

Lattice parameters (Å, degrees): 4.8966 4.8966 2.8485 90.00 90.00 109.72
Atoms (fractional coordinates):
Ir1 0.0000 0.5000 0.0000
Ir2 0.5000 0.0000 0.0000
W1 0.0000 0.0000 0.5000
Br1 0.5000 0.5000 0.5000



Entry 4:
Here is DyRh6 after structural relaxation from the Alexandria database. Energies are from PBE.

## Properties
As for the energy of formation: -5.3 kcal/mol of atoms. As for the space-group type: No. 62. The energy above the lowest structure with this stoichiometry is 0.000 eV per atom.

Lattice parameters (Å, degrees): 8.4864 5.1921 10.4238 90.00 90.00 90.00
Atoms (fractional coordinates):
Dy1 0.2426 0.2500 0.0606
Dy2 0.2574 0.7500 0.5606
Dy3 0.7426 0.2500 0.4394
Dy4 0.7574 0.7500 0.9394
Rh1 0.0591 0.7500 0.0815
Rh2 0.0608 0.0057 0.3067
Rh3 0.0608 0.4943 0.3067
Rh4 0.1132 0.2500 0.5201
Rh5 0.1513 0.7500 0.8435
Rh6 0.1851 0.2500 0.7674
Rh7 0.3149 0.7500 0.2674
Rh8 0.3487 0.2500 0.3435
Rh9 0.3868 0.7500 0.0201
Rh10 0.4392 0.5057 0.8067
Rh11 0.4392 0.9943 0.8067
Rh12 0.4409 0.2500 0.5815
Rh13 0.5591 0.7500 0.4185
Rh14 0.5608 0.0057 0.1933
Rh15 0.5608 0.4943 0.1933
Rh16 0.6132 0.2500 0.9799
Rh17 0.6513 0.7500 0.6565
Rh18 0.6851 0.2500 0.7326
Rh19 0.8149 0.7500 0.2326
Rh20 0.8487 0.2500 0.1565
Rh21 0.8868 0.7500 0.4799
Rh22 0.9392 0.5057 0.6933
Rh23 0.9392 0.9943 0.6933
Rh24 0.9409 0.2500 0.9185



Entry 5:
Here is HfTaZnP2 after structural relaxation from the Alexandria database. Energies are from PBE.

## Properties
As for the energy of formation: 25.8 kcal/mol of atoms. As for the space-group type: No. 123.

Lattice parameters (Å, degrees): 4.4816 4.4816 4.8509 90.00 90.00 90.00
Atoms (fractional coordinates):
Hf1 0.0000 0.0000 0.0000
Ta1 0.5000 0.5000 0.0000
Zn1 0.0000 0.0000 0.5000
P1 0.0000 0.5000 0.5000
P2 0.5000 0.0000 0.5000



Entry 6:
Here is TaRe2Tc after structural relaxation from the Alexandria database. Energies are from PBE.

## Properties
As for the energy of formation: 16.5 kcal/mol of atoms. As for the space-group type: No. 122. The energy above the lowest structure with this stoichiometry is 0.787 eV per atom.

Lattice parameters (Å, degrees): 5.7435 5.7435 5.7435 101.88 101.88 126.04
Atoms (fractional coordinates):
Ta1 0.0000 0.0000 0.0000
Ta2 0.7500 0.2500 0.5000
Re1 0.1433 0.1250 0.5183
Re2 0.3750 0.8567 0.9817
Re3 0.6067 0.6250 0.4817
Re4 0.8750 0.3933 0.0183
Tc1 0.2500 0.7500 0.5000
Tc2 0.5000 0.5000 0.0000



no.,raw total energy (eV/cell)
1,-26.09
2,-92.48
3,-28.59
4,-201.22
5,-28.31
6,-88.50